w | Crystalline Te2MoPdN at its relaxed geometry, computed with GGA-PBE.

Structure (POSCAR):
```
Te2MoPdN
1.0
5.470 0.000 0.000
0.000 5.470 0.000
0.000 0.000 3.699
Te Mo Pd N
2 1 1 1
Cartesian
0.000 2.735 0.000 Te
2.735 0.000 0.000 Te
0.000 0.000 1.849 Mo
2.735 2.735 0.000 Pd
2.735 2.735 1.849 N
```

Properties
Its magnetic moment is 3.3 μB per formula unit. Its density of states at the Fermi level is 2.63 states/eV/f.u. The calculation puts the volume at 111 Å³/cell.

***

x | Crystalline Te2MoPdN at its relaxed geometry, computed with GGA-PBE.

Structure (POSCAR):
```
Te2MoPdN
1.0
5.392 0.000 0.000
0.000 5.392 0.000
0.000 0.000 3.761
Te Mo Pd N
2 1 1 1
Cartesian
0.000 2.696 0.000 Te
2.696 0.000 0.000 Te
0.000 0.000 0.000 Mo
2.696 2.696 1.881 Pd
0.000 0.000 1.881 N
```

Properties
Its magnetic moment is 0.0 μB per formula unit. Its density of states at the Fermi level is 4.77 states/eV/f.u. The calculation puts the volume at 109 Å³/cell.

***

Stability verdict: x, ahead by 649 meV/atom

***

w | Crystalline Pr2MoN3 at its relaxed geometry, computed with GGA-PBE.

Structure (POSCAR):
```
Pr2MoN3
1.0
3.580 0.000 0.000
0.000 4.011 0.000
0.000 0.000 12.951
Pr Mo N
4 2 6
Cartesian
0.000 0.000 1.905 Pr
0.000 0.000 11.046 Pr
1.790 2.005 4.571 Pr
1.790 2.005 8.380 Pr
0.000 0.000 6.475 Mo
1.790 2.005 0.000 Mo
0.000 0.000 4.432 N
0.000 0.000 8.519 N
0.000 2.005 6.475 N
1.790 0.000 0.000 N
1.790 2.005 2.043 N
1.790 2.005 10.908 N
```

Properties
Its magnetic moment is 0.0 μB per formula unit. Its density of states at the Fermi level is 3.12 states/eV/f.u. The calculation puts the volume at 186 Å³/cell.

***

x | Crystalline Pr2MoN3 at its relaxed geometry, computed with GGA-PBE.

Structure (POSCAR):
```
Pr2MoN3
1.0
4.975 -3.258 0.000
4.975 3.258 0.000
0.000 0.000 5.688
Pr Mo N
4 2 6
Cartesian
1.717 1.076 1.422 Pr
1.717 -1.076 4.266 Pr
8.233 1.076 1.422 Pr
8.233 -1.076 4.266 Pr
4.975 0.629 1.422 Mo
4.975 -0.629 4.266 Mo
4.975 2.492 1.422 N
3.461 0.000 0.000 N
3.461 0.000 2.844 N
6.489 0.000 0.000 N
6.489 0.000 2.844 N
4.975 -2.492 4.266 N
```

Properties
Its magnetic moment is 0.0 μB per formula unit. Its density of states at the Fermi level is 2.11 states/eV/f.u. The calculation puts the volume at 184 Å³/cell.

***

Stability verdict: w, ahead by 215 meV/atom

***

w | Crystalline Pr2MoN4 at its relaxed geometry, computed with GGA-PBE.

Structure (POSCAR):
```
Pr2MoN4
1.0
5.963 0.000 0.000
0.000 5.965 0.000
-2.252 0.000 6.619
Pr Mo N
4 2 8
Cartesian
1.033 1.491 0.190 Pr
0.341 1.491 3.717 Pr
3.369 4.474 2.902 Pr
2.677 4.474 6.429 Pr
-0.253 4.474 5.325 Mo
3.963 1.491 1.294 Mo
-1.406 3.031 4.924 N
-1.406 5.917 4.924 N
2.465 4.474 0.495 N
1.317 4.474 4.316 N
2.394 1.491 2.303 N
1.246 1.491 6.124 N
5.117 0.048 1.695 N
5.117 2.934 1.695 N
```

Properties
Its magnetic moment is 0.0 μB per formula unit. The calculation puts the volume at 235 Å³/cell.

***

x | Crystalline Pr2MoN4 at its relaxed geometry, computed with GGA-PBE.

Structure (POSCAR):
```
Pr2MoN4
1.0
3.968 0.000 0.000
0.000 3.968 0.000
0.000 0.000 12.690
Pr Mo N
4 2 8
Cartesian
0.000 0.000 1.837 Pr
0.000 0.000 10.853 Pr
1.984 1.984 4.508 Pr
1.984 1.984 8.182 Pr
0.000 0.000 6.345 Mo
1.984 1.984 0.000 Mo
0.000 0.000 4.246 N
0.000 0.000 8.444 N
0.000 1.984 0.000 N
0.000 1.984 6.345 N
1.984 0.000 0.000 N
1.984 0.000 6.345 N
1.984 1.984 2.099 N
1.984 1.984 10.591 N
```

Properties
Its magnetic moment is 0.0 μB per formula unit. Its density of states at the Fermi level is 1.34 states/eV/f.u. The calculation puts the volume at 200 Å³/cell.

***

Stability verdict: w, ahead by 49 meV/atom

***

w | Crystalline MoPt3N at its relaxed geometry, computed with GGA-PBE.

Structure (POSCAR):
```
MoPt3N
1.0
4.850 0.000 0.000
0.000 4.850 0.000
0.000 0.000 4.850
Mo Pt N
1 3 1
Cartesian
0.000 0.000 0.000 Mo
0.000 0.000 2.425 Pt
0.000 2.425 0.000 Pt
2.425 0.000 0.000 Pt
2.425 2.425 2.425 N
```

Properties
Its magnetic moment is 2.3 μB per formula unit. Its density of states at the Fermi level is 5.02 states/eV/f.u. The calculation puts the volume at 114 Å³/cell.

***

x | Crystalline MoPt3N at its relaxed geometry, computed with GGA-PBE.

Structure (POSCAR):
```
MoPt3N
1.0
4.212 0.000 0.000
0.000 4.212 0.000
0.000 0.000 4.212
Mo Pt N
1 3 1
Cartesian
0.000 0.000 0.000 Mo
0.000 2.106 2.106 Pt
2.106 0.000 2.106 Pt
2.106 2.106 0.000 Pt
2.106 2.106 2.106 N
```

Properties
Its magnetic moment is 3.2 μB per formula unit. Its density of states at the Fermi level is 4.43 states/eV/f.u. The calculation puts the volume at 75 Å³/cell.

***

Stability verdict: x, ahead by 1455 meV/atom

***

w | Crystalline Mo2PtRhN at its relaxed geometry, computed with GGA-PBE.

Structure (POSCAR):
```
Mo2PtRhN
1.0
4.050 0.000 0.000
0.000 4.050 0.000
0.000 0.000 4.234
Mo Pt Rh N
2 1 1 1
Cartesian
0.000 2.025 0.000 Mo
2.025 0.000 0.000 Mo
0.000 0.000 2.117 Pt
2.025 2.025 2.117 Rh
0.000 0.000 0.000 N
```

Properties
Its magnetic moment is 0.0 μB per formula unit. Its density of states at the Fermi level is 3.84 states/eV/f.u. The calculation puts the volume at 69 Å³/cell.

***

x | Crystalline Mo2PtRhN at its relaxed geometry, computed with GGA-PBE.

Structure (POSCAR):
```
Mo2PtRhN
1.0
4.063 0.000 0.000
0.000 4.063 0.000
0.000 0.000 4.157
Mo Pt Rh N
2 1 1 1
Cartesian
0.000 2.031 0.000 Mo
2.031 0.000 0.000 Mo
0.000 0.000 2.079 Pt
2.031 2.031 2.079 Rh
2.031 2.031 0.000 N
```

Properties
Its magnetic moment is 0.0 μB per formula unit. Its density of states at the Fermi level is 4.14 states/eV/f.u. The calculation puts the volume at 69 Å³/cell.

***

Stability verdict: x, ahead by 177 meV/atom

***

w | Crystalline MoPtSeN2 at its relaxed geometry, computed with GGA-PBE.

Structure (POSCAR):
```
MoPtSeN2
1.0
3.838 0.000 0.000
0.000 3.838 0.000
0.000 0.000 5.519
Mo Pt Se N
1 1 1 2
Cartesian
0.000 0.000 0.000 Mo
1.919 1.919 2.760 Pt
0.000 0.000 2.760 Se
0.000 1.919 0.000 N
1.919 0.000 0.000 N
```

Properties
Its magnetic moment is 0.5 μB per formula unit. Its density of states at the Fermi level is 3.91 states/eV/f.u. The calculation puts the volume at 81 Å³/cell.

***

x | Crystalline MoPtSeN2 at its relaxed geometry, computed with GGA-PBE.

Structure (POSCAR):
```
MoPtSeN2
1.0
3.737 0.000 0.000
0.000 3.737 0.000
0.000 0.000 8.096
Mo Pt Se N
1 1 1 2
Cartesian
0.000 0.000 0.000 Mo
1.869 1.869 4.048 Pt
1.869 1.869 0.000 Se
0.000 1.869 4.048 N
1.869 0.000 4.048 N
```

Properties
Its magnetic moment is 3.7 μB per formula unit. Its density of states at the Fermi level is 3.45 states/eV/f.u. The calculation puts the volume at 113 Å³/cell.

***

Stability verdict: w, ahead by 674 meV/atom

***

w | Crystalline MoPtSe2N at its relaxed geometry, computed with GGA-PBE.

Structure (POSCAR):
```
MoPtSe2N
1.0
5.190 0.000 0.000
0.000 5.190 0.000
0.000 0.000 3.666
Mo Pt Se N
1 1 2 1
Cartesian
0.000 0.000 0.000 Mo
2.595 2.595 1.833 Pt
0.000 2.595 1.833 Se
2.595 0.000 1.833 Se
2.595 2.595 0.000 N
```

Properties
Its magnetic moment is 3.3 μB per formula unit. Its density of states at the Fermi level is 3.51 states/eV/f.u. The calculation puts the volume at 99 Å³/cell.

***

x | Crystalline MoPtSe2N at its relaxed geometry, computed with GGA-PBE.

Structure (POSCAR):
```
MoPtSe2N
1.0
5.014 0.000 0.000
0.000 5.014 0.000
0.000 0.000 3.742
Mo Pt Se N
1 1 2 1
Cartesian
0.000 0.000 0.000 Mo
2.507 2.507 1.871 Pt
0.000 2.507 0.000 Se
2.507 0.000 0.000 Se
0.000 0.000 1.871 N
```

Properties
Its magnetic moment is 0.0 μB per formula unit. Its density of states at the Fermi level is 5.16 states/eV/f.u. The calculation puts the volume at 94 Å³/cell.

***

Stability verdict: x, ahead by 355 meV/atom

***

w | Crystalline PuMoN2 at its relaxed geometry, computed with GGA-PBE.

Structure (POSCAR):
```
PuMoN2
1.0
3.287 0.000 0.000
-1.644 2.847 0.000
0.000 0.000 15.466
Pu Mo N
3 3 6
Cartesian
0.000 0.000 0.000 Pu
0.000 1.898 10.311 Pu
1.644 0.949 5.155 Pu
0.000 0.000 7.733 Mo
0.000 1.898 2.578 Mo
1.644 0.949 12.888 Mo
0.000 0.000 3.753 N
0.000 0.000 11.713 N
0.000 1.898 6.558 N
0.000 1.898 14.064 N
1.644 0.949 1.402 N
1.644 0.949 8.908 N
```

Properties
Its magnetic moment is 4.1 μB per formula unit. Its density of states at the Fermi level is 6.48 states/eV/f.u. The calculation puts the volume at 145 Å³/cell.

***

x | Crystalline PuMoN2 at its relaxed geometry, computed with GGA-PBE.

Structure (POSCAR):
```
PuMoN2
1.0
5.612 0.000 0.000
0.000 3.227 0.000
0.000 0.000 10.812
Pu Mo N
4 4 8
Cartesian
0.425 0.807 1.552 Pu
2.381 2.420 6.958 Pu
3.231 0.807 3.854 Pu
5.187 2.420 9.260 Pu
0.402 2.420 4.328 Mo
2.404 0.807 9.733 Mo
3.208 2.420 1.078 Mo
5.210 0.807 6.484 Mo
0.911 0.807 8.171 N
1.376 2.420 10.768 N
1.430 0.807 5.362 N
1.895 2.420 2.765 N
3.717 0.807 8.047 N
4.182 2.420 5.449 N
4.236 0.807 0.044 N
4.700 2.420 2.641 N
```

Properties
Its magnetic moment is 4.2 μB per formula unit. Its density of states at the Fermi level is 6.37 states/eV/f.u. The calculation puts the volume at 196 Å³/cell.

***

Stability verdict: x, ahead by 154 meV/atom

***

w | Crystalline RbMoSeN2 at its relaxed geometry, computed with GGA-PBE.

Structure (POSCAR):
```
RbMoSeN2
1.0
4.103 0.000 0.000
0.000 4.103 0.000
0.000 0.000 5.897
Rb Mo Se N
1 1 1 2
Cartesian
0.000 0.000 0.000 Rb
2.051 2.051 2.948 Mo
0.000 0.000 2.948 Se
0.000 2.051 0.000 N
2.051 0.000 0.000 N
```

Properties
Its magnetic moment is 1.1 μB per formula unit. Its density of states at the Fermi level is 6.82 states/eV/f.u. The calculation puts the volume at 99 Å³/cell.

***

x | Crystalline RbMoSeN2 at its relaxed geometry, computed with GGA-PBE.

Structure (POSCAR):
```
RbMoSeN2
1.0
4.128 0.000 0.000
0.000 4.128 0.000
0.000 0.000 5.147
Rb Mo Se N
1 1 1 2
Cartesian
0.000 0.000 0.000 Rb
2.064 2.064 2.573 Mo
2.064 2.064 0.000 Se
0.000 2.064 2.573 N
2.064 0.000 2.573 N
```

Properties
Its magnetic moment is 0.4 μB per formula unit. Its density of states at the Fermi level is 3.82 states/eV/f.u. The calculation puts the volume at 88 Å³/cell.

***

Stability verdict: x, ahead by 2784 meV/atom

***

w | Crystalline RbMoSe2N at its relaxed geometry, computed with GGA-PBE.

Structure (POSCAR):
```
RbMoSe2N
1.0
5.814 0.000 0.000
0.000 5.814 0.000
0.000 0.000 4.429
Rb Mo Se N
1 1 2 1
Cartesian
0.000 0.000 0.000 Rb
2.907 2.907 2.215 Mo
0.000 2.907 0.000 Se
2.907 0.000 0.000 Se
0.000 0.000 2.215 N
```

Properties
Its magnetic moment is 5.2 μB per formula unit. Its density of states at the Fermi level is 5.06 states/eV/f.u. The calculation puts the volume at 150 Å³/cell.

***

x | Crystalline RbMoSe2N at its relaxed geometry, computed with GGA-PBE.

Structure (POSCAR):
```
RbMoSe2N
1.0
5.261 0.000 0.000
0.000 5.261 0.000
0.000 0.000 3.895
Rb Mo Se N
1 1 2 1
Cartesian
0.000 0.000 0.000 Rb
2.631 2.631 1.948 Mo
0.000 2.631 1.948 Se
2.631 0.000 1.948 Se
2.631 2.631 0.000 N
```

Properties
Its magnetic moment is 0.0 μB per formula unit. Its density of states at the Fermi level is 4.30 states/eV/f.u. The calculation puts the volume at 108 Å³/cell.

***

Stability verdict: x, ahead by 2455 meV/atom

***

w | Crystalline RbTeMoN2 at its relaxed geometry, computed with GGA-PBE.

Structure (POSCAR):
```
RbTeMoN2
1.0
4.352 0.000 0.000
0.000 4.352 0.000
0.000 0.000 6.705
Rb Te Mo N
1 1 1 2
Cartesian
0.000 0.000 0.000 Rb
0.000 0.000 3.353 Te
2.176 2.176 3.353 Mo
0.000 2.176 0.000 N
2.176 0.000 0.000 N
```

Properties
Its magnetic moment is 3.1 μB per formula unit. Its density of states at the Fermi level is 8.25 states/eV/f.u. The calculation puts the volume at 127 Å³/cell.

***

x | Crystalline RbTeMoN2 at its relaxed geometry, computed with GGA-PBE.

Structure (POSCAR):
```
RbTeMoN2
1.0
4.210 0.000 0.000
0.000 4.210 0.000
0.000 0.000 5.481
Rb Te Mo N
1 1 1 2
Cartesian
0.000 0.000 0.000 Rb
2.105 2.105 0.000 Te
2.105 2.105 2.740 Mo
0.000 2.105 2.740 N
2.105 0.000 2.740 N
```

Properties
Its magnetic moment is 0.2 μB per formula unit. Its density of states at the Fermi level is 4.16 states/eV/f.u. The calculation puts the volume at 97 Å³/cell.

***

Stability verdict: x, ahead by 2430 meV/atom

***

w | Crystalline ReMo3N at its relaxed geometry, computed with GGA-PBE.

Structure (POSCAR):
```
ReMo3N
1.0
4.106 0.000 0.000
0.000 4.106 0.000
0.000 0.000 4.106
Re Mo N
1 3 1
Cartesian
0.000 0.000 0.000 Re
0.000 2.053 2.053 Mo
2.053 0.000 2.053 Mo
2.053 2.053 0.000 Mo
2.053 2.053 2.053 N
```

Properties
Its magnetic moment is 0.0 μB per formula unit. Its density of states at the Fermi level is 4.17 states/eV/f.u. The calculation puts the volume at 69 Å³/cell.

***

x | Crystalline ReMo3N at its relaxed geometry, computed with GGA-PBE.

Structure (POSCAR):
```
ReMo3N
1.0
4.726 0.000 0.000
0.000 4.726 0.000
0.000 0.000 4.726
Re Mo N
1 3 1
Cartesian
0.000 0.000 0.000 Re
0.000 0.000 2.363 Mo
0.000 2.363 0.000 Mo
2.363 0.000 0.000 Mo
2.363 2.363 2.363 N
```

Properties
Its magnetic moment is 0.2 μB per formula unit. Its density of states at the Fermi level is 5.84 states/eV/f.u. The calculation puts the volume at 106 Å³/cell.

***

Stability verdict: w, ahead by 2838 meV/atom